The following is a DFT calculation (PBE) of a relaxed Li5Zn2Cd4 crystal.

Formation energy from the elements: -0.204 eV/atom

a b c (Å): 7.2884 17.1162 3.1373
angles (deg): 90.00 90.00 90.00
Last column: nearest neighbours and their distance in Å.
Positions (direct):
Li 0.0000 0.0000 0.0000  8 Cd 2.91-3.08, 4 Li 2.94-3.14
Li 0.1328 0.4293 0.0000  2 Zn 2.70, 6 Cd 2.90-2.97, 1 Li 2.94
Li 0.2490 0.2109 0.0000  4 Zn 2.69-2.70, 2 Cd 2.92
Li 0.2510 0.7109 0.0000  4 Zn 2.69-2.70, 2 Cd 2.92
Li 0.3672 0.9293 0.0000  2 Zn 2.70, 6 Cd 2.90-2.97, 1 Li 2.94
Li 0.5000 0.5000 0.0000  8 Cd 2.91-3.08, 4 Li 2.94-3.14
Li 0.6328 0.0707 0.0000  2 Zn 2.70, 6 Cd 2.90-2.97, 1 Li 2.94
Li 0.7490 0.2891 0.0000  4 Zn 2.69-2.70, 2 Cd 2.92
Li 0.7510 0.7891 0.0000  4 Zn 2.69-2.70, 2 Cd 2.92
Li 0.8672 0.5707 0.0000  2 Zn 2.70, 6 Cd 2.90-2.97, 1 Li 2.94
Zn 0.0486 0.3060 0.5000  6 Li 2.69-2.70, 3 Cd 2.80-2.83
Zn 0.4514 0.8060 0.5000  6 Li 2.69-2.70, 3 Cd 2.80-2.83
Zn 0.5486 0.1940 0.5000  6 Li 2.69-2.70, 3 Cd 2.80-2.83
Zn 0.9514 0.6940 0.5000  6 Li 2.69-2.70, 3 Cd 2.80-2.83
Cd 0.0768 0.8486 0.5000  2 Zn 2.80-2.83, 8 Li 2.97-3.10, 1 Cd 3.07
Cd 0.2041 0.5683 0.5000  1 Zn 2.83, 8 Li 2.90-2.92, 3 Cd 3.07-3.14
Cd 0.2959 0.0683 0.5000  1 Zn 2.83, 8 Li 2.90-2.92, 3 Cd 3.07-3.14
Cd 0.4232 0.3486 0.5000  2 Zn 2.80-2.83, 8 Li 2.97-3.10, 1 Cd 3.07
Cd 0.5768 0.6514 0.5000  2 Zn 2.80-2.83, 8 Li 2.97-3.10, 1 Cd 3.07
Cd 0.7041 0.9317 0.5000  1 Zn 2.83, 8 Li 2.90-2.92, 3 Cd 3.07-3.14
Cd 0.7959 0.4317 0.5000  1 Zn 2.83, 8 Li 2.90-2.92, 3 Cd 3.07-3.14
Cd 0.9232 0.1514 0.5000  2 Zn 2.80-2.83, 8 Li 2.97-3.10, 1 Cd 3.07